VASP calculation (GGA-PBEsol) on a relaxed Li2Au crystal.

energy of formation from the pure elements	-1.2	eV per formula unit
D(E_F)	0.309	states/eV/atom
calculated volume	90	Å³ per cell

Unit cell a=3.207 b=3.207 c=8.713 alpha=90.00 beta=90.00 gamma=90.00
Space group I4/mmm (No. 139)
Symmetry-distinct sites (fractional):
Li  0.000  0.000  0.157
Au  0.000  0.000  0.500